Density functional theory data (PBE-GGA) for an optimized crystal structure of CsRbSi2.

Properties
* crystal system: orthorhombic
* polymorph energy (0 for the lowest one): 0.0 meV/atom
* formation energy without anion corrections: 0.08 eV per atom
* total magnetic moment: 0.000 μB per formula unit

Lattice parameters (Å, degrees): 6.7413 7.7610 11.0650 90.00 90.00 90.00
With the nearest neighbours (Å) after each atom.
Space group Pnma (No. 62)
Asymmetric unit:
Cs (0.1234, 0.2500, 0.1673) (multiplicity 4)  1 Rb 3.66, 8 Si 3.66-4.08, 2 Cs 3.84
Rb (0.1431, 0.2500, 0.8370) (multiplicity 4)  8 Si 3.66-4.03, 1 Cs 3.66, 2 Rb 3.88
Si (0.1297, 0.1026, 0.5068) (multiplicity 8)  2 Si 2.29-2.37

Density functional theory data (PBE-GGA) for an optimized crystal structure of CsRbSiTe2.

Properties
* crystal system: tetragonal
* formation energy without anion corrections: -0.22 eV per atom
* total magnetic moment: 0.000 μB per formula unit

Lattice parameters (Å, degrees): 5.7273 5.7273 6.0382 90.00 90.00 90.00
With the nearest neighbours (Å) after each atom.
Space group P4/mmm (No. 123)
Asymmetric unit:
Cs (0.0000, 0.0000, 0.0000) (multiplicity 1)  4 Rb 4.05, 8 Te 4.16
Rb (0.5000, 0.5000, 0.0000) (multiplicity 1)  2 Si 3.02
Si (0.5000, 0.5000, 0.5000) (multiplicity 1)  4 Te 2.86, 2 Rb 3.02
Te (0.0000, 0.5000, 0.5000) (multiplicity 2)  2 Si 2.86

Density functional theory data (PBE-GGA) for an optimized crystal structure of CsRb2SiTe4.

Properties
* crystal system: monoclinic
* formation energy without anion corrections: -0.43 eV per atom
* total magnetic moment: 0.000 μB per formula unit

Lattice parameters (Å, degrees): 16.0167 12.0898 10.5187 90.00 130.99 90.00
With the nearest neighbours (Å) after each atom.
Space group C2/c (No. 15)
Asymmetric unit:
Cs (0.2500, 0.2500, 0.0000) (multiplicity 4)  8 Te 4.03-4.12
Rb (0.0000, 0.0000, 0.0000) (multiplicity 4)  4 Te 3.48
Rb (0.2500, 0.2500, 0.5000) (multiplicity 4)  8 Te 3.95-4.04
Si (0.0000, 0.5000, 0.0000) (multiplicity 4)  4 Te 2.57
Te (0.0005, 0.2877, 0.0121) (multiplicity 8)  1 Si 2.57
Te (0.2125, 0.4994, 0.7117) (multiplicity 8)  1 Si 2.57

Density functional theory data (PBE-GGA) for an optimized crystal structure of Cs3RbSn.

Properties
* crystal system: monoclinic
* formation energy from the elements: -0.058 eV/atom
* total magnetic moment: 0.000 μB per formula unit

Lattice parameters (Å, degrees): 15.9414 18.4206 10.6540 90.00 101.37 90.00
With the nearest neighbours (Å) after each atom.
Space group C2/c (No. 15)
Asymmetric unit:
Cs (0.1317, 0.1999, 0.1129) (multiplicity 8)  2 Sn 4.03-4.14
Cs (0.1398, 0.4787, 0.1037) (multiplicity 8)  3 Sn 4.07-4.20
Cs (0.1784, 0.1619, 0.5578) (multiplicity 8)  2 Sn 4.01-4.15, 1 Cs 4.29
Rb (0.0000, 0.0206, 0.7500) (multiplicity 4)  6 Cs 4.62-5.15
Rb (0.0000, 0.3230, 0.7500) (multiplicity 4)  2 Sn 4.47, 8 Cs 4.62-4.91
Sn (0.0649, 0.3428, 0.3624) (multiplicity 8)  1 Sn 2.84

Density functional theory data (PBE-GGA) for an optimized crystal structure of Cs2RbSn2.

Properties
* crystal system: monoclinic
* polymorph energy (0 for the lowest one): 0.0 meV/atom
* formation energy from the elements: -0.143 eV/atom
* total magnetic moment: 0.000 μB per formula unit

Lattice parameters (Å, degrees): 13.8879 7.0775 11.3939 90.00 104.71 90.00
With the nearest neighbours (Å) after each atom.
Space group C2/c (No. 15)
Asymmetric unit:
Cs (0.1502, 0.2135, 0.1357) (multiplicity 8)  4 Sn 3.94-4.08, 1 Rb 4.31
Rb (0.0000, 0.3147, 0.7500) (multiplicity 4)  4 Sn 4.06-4.15, 4 Cs 4.31-4.42
Sn (0.1510, 0.2851, 0.4792) (multiplicity 8)  1 Sn 2.72

Density functional theory data (PBE-GGA) for an optimized crystal structure of Cs2Rb8Sn.

Properties
* crystal system: monoclinic
* formation energy from the elements: 0.003 eV/atom
* total magnetic moment: 0.000 μB per formula unit

Lattice parameters (Å, degrees): 25.7074 7.1939 9.9665 90.00 97.91 90.00
With the nearest neighbours (Å) after each atom.
Space group C2/m (No. 12)
Asymmetric unit:
Cs (0.1826, 0.0000, 0.1130) (multiplicity 4)  11 Rb 4.78-5.21
Rb (0.0087, 0.0000, 0.7983) (multiplicity 4)  5 Rb 4.11-4.52, 2 Sn 4.14
Rb (0.0882, 0.5000, 0.3319) (multiplicity 4)  1 Sn 3.74
Rb (0.1158, 0.5000, 0.8227) (multiplicity 4)  1 Sn 3.67
Rb (0.2030, 0.0000, 0.6071) (multiplicity 4)  4 Cs 4.88-5.21, 7 Rb 4.89-5.32
Sn (0.0000, 0.5000, 0.0000) (multiplicity 2)  4 Rb 3.67-3.74